Density functional theory data (GGA-PBEsol) for a relaxed structure of HoNbRu2.

The structure in CIF format:
```
data_HoNbRu2
_space_group_name_H-M_alt 'P 1'
_space_group_IT_number 1
_space_group_name_Hall 'P 1'
_cell_length_a 6.449
_cell_length_b 6.449
_cell_length_c 6.449
_cell_angle_alpha 90.00
_cell_angle_beta 90.00
_cell_angle_gamma 90.00
loop_
_atom_site_label
_atom_site_type_symbol
_atom_site_fract_x
_atom_site_fract_y
_atom_site_fract_z
Ho1 Ho 0.000 0.000 0.000
Ho2 Ho 0.000 0.500 0.500
Ho3 Ho 0.500 0.000 0.500
Ho4 Ho 0.500 0.500 0.000
Nb1 Nb 0.000 0.000 0.500
Nb2 Nb 0.000 0.500 0.000
Nb3 Nb 0.500 0.000 0.000
Nb4 Nb 0.500 0.500 0.500
Ru1 Ru 0.250 0.250 0.250
Ru2 Ru 0.250 0.250 0.750
Ru3 Ru 0.250 0.750 0.250
Ru4 Ru 0.250 0.750 0.750
Ru5 Ru 0.750 0.250 0.250
Ru6 Ru 0.750 0.250 0.750
Ru7 Ru 0.750 0.750 0.250
Ru8 Ru 0.750 0.750 0.750
```

Calculated values
E_tot	-9.32	eV/atom
calculated density	11.4	g/cm³
density of states at the Fermi level	0.742	states/eV/f.u.
SG	No. 225
energy relative to the elements	-0.29	eV per atom